(1)
! PBE CrCuH2Rh, optimized geometry; values from VASP
&SYSTEM
  ibrav = 0, nat = 5, ntyp = 4
/
ATOMIC_SPECIES
Cr 52.00 Cr.upf
Cu 63.55 Cu.upf
H 1.01 H.upf
Rh 102.91 Rh.upf
ATOMIC_POSITIONS crystal
Cr 0.000 0.000 0.000
Cu 0.000 0.000 0.500
H 0.000 0.500 0.000
H 0.500 0.000 0.000
Rh 0.500 0.500 0.500
CELL_PARAMETERS angstrom
3.428 0.000 0.000
0.000 3.428 0.000
0.000 0.000 4.879
! - electronic total energy (eV per atom) = -4.880
! - space-group type = No. 123

=====

(2)
! PBE Cr2CuHRh, optimized geometry; values from VASP
&SYSTEM
  ibrav = 0, nat = 5, ntyp = 4
/
ATOMIC_SPECIES
Cr 52.00 Cr.upf
Cu 63.55 Cu.upf
H 1.01 H.upf
Rh 102.91 Rh.upf
ATOMIC_POSITIONS crystal
Cr 0.000 0.500 0.000
Cr 0.500 0.000 0.000
Cu 0.000 0.000 0.500
H 0.500 0.500 0.000
Rh 0.500 0.500 0.500
CELL_PARAMETERS angstrom
3.693 0.000 0.000
0.000 3.693 0.000
0.000 0.000 3.857
! - energy relative to the lowest polymorph listed for this composition (eV per atom) = 0.000
! - space-group type = No. 123

=====

(3)
! PBE CrCu2HRh, optimized geometry; values from VASP
&SYSTEM
  ibrav = 0, nat = 5, ntyp = 4
/
ATOMIC_SPECIES
Cr 52.00 Cr.upf
Cu 63.55 Cu.upf
H 1.01 H.upf
Rh 102.91 Rh.upf
ATOMIC_POSITIONS crystal
Cr 0.000 0.000 0.000
Cu 0.000 0.500 0.500
Cu 0.500 0.000 0.500
H 0.000 0.000 0.500
Rh 0.500 0.500 0.000
CELL_PARAMETERS angstrom
3.740 0.000 0.000
0.000 3.740 0.000
0.000 0.000 3.897
! - electronic total energy (eV per atom) = -5.558
! - space-group type = No. 123

=====

(4)
! PBE Cr2CuHRh, optimized geometry; values from VASP
&SYSTEM
  ibrav = 0, nat = 5, ntyp = 4
/
ATOMIC_SPECIES
Cr 52.00 Cr.upf
Cu 63.55 Cu.upf
H 1.01 H.upf
Rh 102.91 Rh.upf
ATOMIC_POSITIONS crystal
Cr 0.000 0.500 0.000
Cr 0.500 0.000 0.000
Cu 0.000 0.000 0.500
H 0.000 0.000 0.000
Rh 0.500 0.500 0.500
CELL_PARAMETERS angstrom
3.686 0.000 0.000
0.000 3.686 0.000
0.000 0.000 3.841
! - energy relative to the lowest polymorph listed for this composition (eV per atom) = 0.003
! - space-group type = No. 123

=====

(5)
! PBE CrCuHRh2, optimized geometry; values from VASP
&SYSTEM
  ibrav = 0, nat = 5, ntyp = 4
/
ATOMIC_SPECIES
Cr 52.00 Cr.upf
Cu 63.55 Cu.upf
H 1.01 H.upf
Rh 102.91 Rh.upf
ATOMIC_POSITIONS crystal
Cr 0.000 0.000 0.000
Cu 0.500 0.500 0.000
H 0.000 0.000 0.500
Rh 0.000 0.500 0.500
Rh 0.500 0.000 0.500
CELL_PARAMETERS angstrom
3.878 0.000 0.000
0.000 3.878 0.000
0.000 0.000 3.777
! - energy relative to the lowest polymorph listed for this composition (eV per atom) = 0.005
! - space-group type = No. 123

=====

(6)
! PBE Cr2CuHRh, optimized geometry; values from VASP
&SYSTEM
  ibrav = 0, nat = 5, ntyp = 4
/
ATOMIC_SPECIES
Cr 52.00 Cr.upf
Cu 63.55 Cu.upf
H 1.01 H.upf
Rh 102.91 Rh.upf
ATOMIC_POSITIONS crystal
Cr 0.000 0.500 0.000
Cr 0.500 0.000 0.000
Cu 0.000 0.000 0.500
H 0.500 0.500 0.500
Rh 0.000 0.000 0.000
CELL_PARAMETERS angstrom
4.713 0.000 0.000
0.000 4.713 0.000
0.000 0.000 4.705
! - energy relative to the lowest polymorph listed for this composition (eV per atom) = 1.338
! - space-group type = No. 123

=====

(7)
! PBE CrCuHRh2, optimized geometry; values from VASP
&SYSTEM
  ibrav = 0, nat = 5, ntyp = 4
/
ATOMIC_SPECIES
Cr 52.00 Cr.upf
Cu 63.55 Cu.upf
H 1.01 H.upf
Rh 102.91 Rh.upf
ATOMIC_POSITIONS crystal
Cr 0.000 0.000 0.000
Cu 0.500 0.500 0.000
H 0.500 0.500 0.500
Rh 0.000 0.500 0.500
Rh 0.500 0.000 0.500
CELL_PARAMETERS angstrom
3.921 0.000 0.000
0.000 3.921 0.000
0.000 0.000 3.684
! - energy relative to the lowest polymorph listed for this composition (eV per atom) = 0.000
! - space-group type = No. 123

=====

(8)
! PBE Cr2CuHRu, optimized geometry; values from VASP
&SYSTEM
  ibrav = 0, nat = 5, ntyp = 4
/
ATOMIC_SPECIES
Cr 52.00 Cr.upf
Cu 63.55 Cu.upf
H 1.01 H.upf
Ru 101.07 Ru.upf
ATOMIC_POSITIONS crystal
Cr 0.000 0.500 0.000
Cr 0.500 0.000 0.000
Cu 0.000 0.000 0.500
H 0.000 0.000 0.000
Ru 0.500 0.500 0.500
CELL_PARAMETERS angstrom
3.706 0.000 0.000
0.000 3.706 0.000
0.000 0.000 3.745
! - energy relative to the lowest polymorph listed for this composition (eV per atom) = 0.024
! - space-group type = No. 123

=====

Here are the calculated calculated volume numbers, same order: 57.3; 52.6; 54.5; 52.2; 56.8; 104.5; 56.6; 51.4 (Å³ per cell).